The following is a GGA-PBE calculation of a relaxed Y4Nb2Sn3N3 crystal, from OQMD via LeMat-Bulk.

Calculated values
- Total energy: -7.89 eV per atom
- Crystal system: monoclinic
- Spin magnetization: 0.02 μB per cell
- Calculated volume: 449 Å³ per cell

a = 5.9441 Å, b = 5.9441 Å, c = 15.0344 Å
α = 101.30°, β = 101.30°, γ = 60.24°
Atoms (fractional coordinates):
N 0.0000 0.5000 0.0000
N 0.3392 0.8212 0.0001
N 0.1788 0.6608 0.4999
N 0.5000 0.0000 0.5000
N 0.8212 0.3392 0.5001
N 0.6608 0.1788 0.9999
Nb 0.3573 0.5251 0.0759
Nb 0.4749 0.6427 0.4241
Nb 0.5251 0.3573 0.5759
Nb 0.6427 0.4749 0.9241
Sn 0.7112 0.5836 0.2489
Sn 0.1231 0.8769 0.2500
Sn 0.4164 0.2888 0.2511
Sn 0.5836 0.7112 0.7489
Sn 0.8769 0.1231 0.7500
Sn 0.2888 0.4164 0.7511
Y 0.0331 0.1948 0.0903
Y 0.6974 0.8660 0.0903
Y 0.1340 0.3026 0.4097
Y 0.8052 0.9669 0.4097
Y 0.1948 0.0331 0.5903
Y 0.8660 0.6974 0.5903
Y 0.3026 0.1340 0.9097
Y 0.9669 0.8052 0.9097